An optimized crystal structure of LiPt2I8. Source: Alexandria, functional PBE.

ΔE_f (raw) in eV per atom: -0.18
DOS at the Fermi energy in states/eV/cell: 5.927
Crystal system: monoclinic

Lattice parameters (Å, degrees): 7.1850 7.1850 11.2568 102.93 102.93 80.79
Sites, in units of the cell vectors:
Li 0.0000 0.0000 0.0000
Pt 0.0962 0.0962 0.3754
Pt 0.9038 0.9038 0.6246
I 0.1472 0.1472 0.6190
I 0.1491 0.7539 0.8064
I 0.2461 0.8509 0.1936
I 0.3430 0.3430 0.4002
I 0.6570 0.6570 0.5998
I 0.7539 0.1491 0.8064
I 0.8509 0.2461 0.1936
I 0.8528 0.8528 0.3810